No. 1
Density functional theory data (PBE-GGA) for crystalline NaTmAu at its relaxed geometry.

Geometry as CIF:
```
data_NaTmAu
_chemical_formula_sum 'Na4 Tm4 Au4'
_cell_length_a 5.927
_cell_length_b 5.777
_cell_length_c 9.389
_cell_angle_alpha 90.00
_cell_angle_beta 108.32
_cell_angle_gamma 90.00
_space_group_name_H-M_alt 'C 1 2/m 1'
_space_group_IT_number 12
_space_group_name_Hall '-C 2y'
loop_
_atom_site_label
_atom_site_fract_x
_atom_site_fract_y
_atom_site_fract_z
Na1 0.246 0.000 0.000
Tm1 0.186 0.500 0.371
Au1 0.152 0.000 0.303
```

Properties
calculated volume: 305.2 Å³ per cell
ΔH_f (0 K): -0.430 eV per atom
uncorrected energy: -3.45 eV/atom

***

No. 2
Density functional theory data (PBE-GGA) for crystalline PuZrPa2 at its relaxed geometry.

Geometry as CIF:
```
data_PuZrPa2
_chemical_formula_sum 'Pu4 Zr4 Pa8'
_cell_length_a 6.113
_cell_length_b 4.979
_cell_length_c 11.557
_cell_angle_alpha 90.00
_cell_angle_beta 90.00
_cell_angle_gamma 90.00
_space_group_name_H-M_alt 'P n m a'
_space_group_IT_number 62
_space_group_name_Hall '-P 2ac 2n'
loop_
_atom_site_label
_atom_site_fract_x
_atom_site_fract_y
_atom_site_fract_z
Pu1 0.103 0.250 0.096
Zr1 0.231 0.250 0.819
Pa1 0.016 0.750 0.687
Pa2 0.247 0.750 0.036
```

Properties
calculated volume: 351.7 Å³ per cell
energy above the most stable polymorph in this dataset: 2.6 kJ/mol of atoms
ΔH_f (0 K): 0.118 eV per atom
uncorrected energy: -10.35 eV/atom

***

> Which value of calculated volume does entry 1 give?

305.2 Å³ per cell